The following is a DFT calculation (PBE) of In2AgBr after structural relaxation.

Computed properties:
volume	208.1	Å³ per cell
energy above the lowest structure with this stoichiometry	20	meV/atom
N(E_F)	0.249	states/eV/atom
raw total energy	-2.645	eV/atom
raw formation energy	-0.145	eV/atom

Lattice parameters (Å, degrees): 5.230 5.261 7.564 90.00 90.00 90.00
Atoms (fractional coordinates):
In1 0.000 0.000 0.215
In2 0.000 0.000 0.785
In3 0.500 0.500 0.215
In4 0.500 0.500 0.785
Ag1 0.000 0.500 0.000
Ag2 0.500 0.000 0.000
Br1 0.000 0.500 0.500
Br2 0.500 0.000 0.500